Entry 1:
SrPd3Pb | GGA-PBE | relaxed

Cell: 5.1963 5.1963 5.1963 Å, 90.00 90.00 90.00°
Last column: nearest neighbours and their distance in Å.
Positions (direct):
Sr (0.0000, 0.0000, 0.0000)  6 Pd 2.60
Pd (0.0000, 0.0000, 0.5000)  2 Sr 2.60
Pd (0.0000, 0.5000, 0.0000)  2 Sr 2.60
Pd (0.5000, 0.0000, 0.0000)  2 Sr 2.60
Pb (0.5000, 0.5000, 0.5000)  12 Pd 3.67

The value obtained for the formation energy is 676 meV/atom. The magnetic moment comes out at 0.0000 μB per atom. As for the space-group type: No. 221. As for the crystal system: cubic. The total energy comes out at -17.6 eV for the cell shown. The density of states at the Fermi level comes out at 0.5566 states/eV per atom.

---

Entry 2:
Sr2CaLa | GGA-PBE | relaxed

Cell: 7.5352 7.5352 7.5352 Å, 146.28 129.32 62.26°
Last column: nearest neighbours and their distance in Å.
Positions (direct):
Sr (0.2479, 0.2479, 0.0000)  2 Ca 3.87, 4 Sr 3.90, 2 La 3.92
Sr (0.7521, 0.7521, 0.0000)  2 Ca 3.87, 4 Sr 3.90, 2 La 3.92
Ca (0.0000, 0.5000, 0.5000)  4 Sr 3.87, 4 La 3.90
La (0.5000, 0.0000, 0.5000)  4 Ca 3.90, 4 Sr 3.92

The value obtained for the formation energy is 122 meV/atom. The magnetic moment comes out at 0.0006 μB per atom. As for the space-group type: No. 71. As for the crystal system: orthorhombic. The total energy comes out at -9.8 eV for the cell shown. The density of states at the Fermi level comes out at 1.3789 states/eV per atom.

---

Entry 3:
NdB4 | GGA-PBE | relaxed

Cell: 4.3217 4.3217 4.2458 Å, 113.82 113.82 99.92°
Last column: nearest neighbours and their distance in Å.
Positions (direct):
Nd (0.0000, 0.0000, 0.0000)  8 B 2.59
B (0.2386, 0.5017, 0.7370)  2 B 1.74
B (0.4983, 0.7614, 0.2630)  2 B 1.74
B (0.5017, 0.2386, 0.7370)  2 B 1.74
B (0.7614, 0.4983, 0.2630)  2 B 1.74

The value obtained for the formation energy is 232 meV/atom. The magnetic moment comes out at 0.0000 μB per atom. As for the space-group type: No. 12. As for the crystal system: monoclinic. The total energy comes out at -30.3 eV for the cell shown. The density of states at the Fermi level comes out at 0.1190 states/eV per atom.

---

Entry 4:
LaZrGe2Rh5 | GGA-PBE | relaxed

Cell: 4.0107 4.0107 11.3151 Å, 90.00 90.00 90.00°
Last column: nearest neighbours and their distance in Å.
Positions (direct):
La (0.0000, 0.0000, 0.0000)  4 Rh 2.84
Zr (0.0000, 0.0000, 0.5000)  8 Rh 2.73
Ge (0.5000, 0.5000, 0.2137)  5 Rh 2.42-2.44
Ge (0.5000, 0.5000, 0.7863)  5 Rh 2.42-2.44
Rh (0.0000, 0.5000, 0.3367)  2 Ge 2.44, 2 Zr 2.73
Rh (0.0000, 0.5000, 0.6633)  2 Ge 2.44, 2 Zr 2.73
Rh (0.5000, 0.0000, 0.3367)  2 Ge 2.44, 2 Zr 2.73
Rh (0.5000, 0.0000, 0.6633)  2 Ge 2.44, 2 Zr 2.73
Rh (0.5000, 0.5000, 0.0000)  2 Ge 2.42

The value obtained for the formation energy is -517 meV/atom. The magnetic moment comes out at 0.0000 μB per atom. As for the space-group type: No. 123. As for the crystal system: tetragonal. The total energy comes out at -64.1 eV for the cell shown. The density of states at the Fermi level comes out at 0.7351 states/eV per atom.

---

Entry 5:
Lu2OsPb | GGA-PBE | relaxed

Cell: 3.3480 3.3480 8.3232 Å, 90.00 90.00 90.00°
Last column: nearest neighbours and their distance in Å.
Positions (direct):
Lu (0.0000, 0.0000, 0.1950)  4 Os 2.87
Lu (0.0000, 0.0000, 0.8050)  4 Os 2.87
Os (0.5000, 0.5000, 0.0000)  8 Lu 2.87
Pb (0.5000, 0.5000, 0.5000)  4 Pb 3.35, 8 Lu 3.47

The value obtained for the formation energy is -429 meV/atom. The magnetic moment comes out at 0.0000 μB per atom. As for the space-group type: No. 123. As for the crystal system: tetragonal. The total energy comes out at -25.7 eV for the cell shown. The density of states at the Fermi level comes out at 0.5510 states/eV per atom.

---

Entry 6:
Er3Tl4CuTe8 | GGA-PBE | relaxed

Cell: 8.7735 8.7735 9.4253 Å, 117.79 117.79 59.87°
Last column: nearest neighbours and their distance in Å.
Positions (direct):
Er (0.0000, 0.0000, 0.0000)  6 Te 3.06
Er (0.0000, 0.5000, 0.0000)  6 Te 3.06
Er (0.5000, 0.0000, 0.0000)  6 Te 3.06
Tl (0.0000, 0.0000, 0.5000)  6 Te 3.50-3.55
Tl (0.0000, 0.5000, 0.5000)  6 Te 3.38-3.41
Tl (0.5000, 0.0000, 0.5000)  6 Te 3.38-3.41
Tl (0.5000, 0.5000, 0.5000)  6 Te 3.39-3.41
Cu (0.5000, 0.5000, 0.0000)  6 Te 2.90-2.95
Te (0.2389, 0.2389, 0.2169)  3 Er 3.06, 3 Tl 3.38-3.39
Te (0.2513, 0.7264, 0.2043)  1 Cu 2.90, 2 Er 3.06
Te (0.2699, 0.2699, 0.7924)  1 Cu 2.95, 2 Er 3.06
Te (0.2736, 0.7487, 0.7957)  1 Cu 2.90, 2 Er 3.06
Te (0.7264, 0.2513, 0.2043)  1 Cu 2.90, 2 Er 3.06
Te (0.7301, 0.7301, 0.2076)  1 Cu 2.95, 2 Er 3.06
Te (0.7487, 0.2736, 0.7957)  1 Cu 2.90, 2 Er 3.06
Te (0.7611, 0.7611, 0.7831)  3 Er 3.06, 3 Tl 3.38-3.39

The magnetic moment comes out at 0.0000 μB per atom. Its uncorrected formation energy is -0.734 eV/atom. As for the space-group type: No. 12. As for the crystal system: monoclinic. The total energy comes out at -64.1 eV for the cell shown. The density of states at the Fermi level comes out at 0.6392 states/eV per atom.

---

Entry 7:
HfThFeTc | GGA-PBE | relaxed

Cell: 4.7671 4.7671 4.7671 Å, 60.00 60.00 60.00°
Last column: nearest neighbours and their distance in Å.
Positions (direct):
Hf (0.0000, 0.0000, 0.0000)  4 Tc 2.92, 4 Fe 2.92
Th (0.5000, 0.5000, 0.5000)  4 Tc 2.92, 4 Fe 2.92
Fe (0.2500, 0.2500, 0.2500)  4 Hf 2.92, 4 Th 2.92
Tc (0.7500, 0.7500, 0.7500)  4 Hf 2.92, 4 Th 2.92

The value obtained for the formation energy is -100 meV/atom. The magnetic moment comes out at 0.2140 μB per atom. As for the space-group type: No. 216. As for the crystal system: cubic. The total energy comes out at -36.6 eV for the cell shown. The density of states at the Fermi level comes out at 0.8482 states/eV per atom.

---

Entry 8:
Ti2TeI2 | GGA-PBE | relaxed

Cell: 9.1130 9.1130 3.3863 Å, 90.00 90.00 90.00°
Last column: nearest neighbours and their distance in Å.
Positions (direct):
Ti (0.1115, 0.3885, 0.0000)  4 I 2.83, 1 Ti 2.87
Ti (0.3885, 0.8885, 0.0000)  4 I 2.83, 1 Ti 2.87
Ti (0.6115, 0.1115, 0.0000)  4 I 2.83, 1 Ti 2.87
Ti (0.8885, 0.6115, 0.0000)  4 I 2.83, 1 Ti 2.87
Te (0.0000, 0.0000, 0.5000)  2 Te 3.39, 4 I 3.54
Te (0.5000, 0.5000, 0.5000)  2 Te 3.39, 4 I 3.54
I (0.1358, 0.6358, 0.5000)  4 Ti 2.83
I (0.3642, 0.1358, 0.5000)  4 Ti 2.83
I (0.6358, 0.8642, 0.5000)  4 Ti 2.83
I (0.8642, 0.3642, 0.5000)  4 Ti 2.83

The magnetic moment comes out at 0.3054 μB per atom. Its uncorrected formation energy is 0.312 eV/atom. As for the space-group type: No. 127. As for the crystal system: tetragonal. The total energy comes out at -40.9 eV for the cell shown. The density of states at the Fermi level comes out at 0.9002 states/eV per atom.

---

Entry 9:
SrZnBr2 | GGA-PBE | relaxed

Cell: 9.3304 9.3304 9.3304 Å, 26.70 26.70 26.70°
Last column: nearest neighbours and their distance in Å.
Positions (direct):
Sr (0.0000, 0.0000, 0.0000)  2 Br 3.01
Zn (0.5000, 0.5000, 0.5000)  6 Br 2.90
Br (0.1116, 0.1116, 0.1116)  3 Zn 2.90, 1 Sr 3.01
Br (0.8884, 0.8884, 0.8884)  3 Zn 2.90, 1 Sr 3.01

The magnetic moment comes out at 0.0095 μB per atom. Its uncorrected formation energy is -0.578 eV/atom. As for the space-group type: No. 166. As for the crystal system: trigonal. The total energy comes out at -8.6 eV for the cell shown. The density of states at the Fermi level comes out at 1.1096 states/eV per atom.

---

Entry 10:
PaAl2Re | GGA-PBE | relaxed

Cell: 3.1889 3.1889 7.0510 Å, 90.00 90.00 90.00°
Last column: nearest neighbours and their distance in Å.
Positions (direct):
Pa (0.0000, 0.0000, 0.0000)  8 Al 3.13, 4 Pa 3.19
Al (0.5000, 0.5000, 0.3087)  4 Re 2.63, 1 Al 2.70
Al (0.5000, 0.5000, 0.6913)  4 Re 2.63, 1 Al 2.70
Re (0.0000, 0.0000, 0.5000)  8 Al 2.63

The value obtained for the formation energy is -103 meV/atom. The magnetic moment comes out at 0.1065 μB per atom. As for the space-group type: No. 123. As for the crystal system: tetragonal. The total energy comes out at -29.8 eV for the cell shown. The density of states at the Fermi level comes out at 1.2358 states/eV per atom.